## KPrZnTe3 (GGA-PBE)

Data for a geometry-optimized KPrZnTe3 structure.

ρ	4.657	g/cm3
uncorrected formation energy	-1.0661	eV/atom

Unit cell a=9.8304 b=4.4992 c=10.5778 alpha=90.00 beta=106.75 gamma=90.00
Space group P2_1/m (No. 11)
Inequivalent atoms, fractional coordinates:
K: 0.2083 0.2500 0.2388 (multiplicity 2)
Pr: 0.3243 0.7500 0.8587 (multiplicity 2)
Zn: 0.0833 0.2500 0.6079 (multiplicity 2)
Te: 0.0927 0.2500 0.8608 (multiplicity 2)
Te: 0.2019 0.7500 0.5305 (multiplicity 2)
Te: 0.4577 0.7500 0.1697 (multiplicity 2)